Compound: SrNi2H8Pb
Source: Alexandria via LeMat-Bulk
Functional: GGA-PBE
Structure: relaxed

Values from the calculation:
symmetry	P-3 (147)
raw total energy	-42.5	eV/f.u.
total magnetization	0.00	μB/f.u.

a b c (Å): 4.326 4.326 7.222
angles (deg): 90.00 90.00 120.00
Atoms (fractional coordinates):
Sr 0.000 0.000 0.000
Ni 0.667 0.333 0.287
Ni 0.333 0.667 0.713
H 0.333 0.667 0.921
H 0.461 0.533 0.251
H 0.467 0.928 0.251
H 0.667 0.333 0.079
H 0.533 0.072 0.749
H 0.539 0.467 0.749
H 0.928 0.461 0.749
H 0.072 0.539 0.251
Pb 0.000 0.000 0.500


Compound: NaSnAsAu
Source: Alexandria via LeMat-Bulk
Functional: GGA-PBE
Structure: relaxed

Values from the calculation:
symmetry	F-43m (216)
raw total energy	-13.6	eV/f.u.
total magnetization	0.00	μB/f.u.
formation energy from the elements	-0.10	eV per atom

a b c (Å): 4.996 4.996 4.996
angles (deg): 60.00 60.00 60.00
Atoms (fractional coordinates):
Na 0.750 0.750 0.750
As 0.000 0.000 0.000
Au 0.500 0.500 0.500
Sn 0.250 0.250 0.250


Compound: La2InSe
Source: Alexandria via LeMat-Bulk
Functional: GGA-PBE
Structure: relaxed

Values from the calculation:
symmetry	C2/m (12)
raw total energy	-20.7	eV/f.u.
E above lowest polymorph	0.000	eV per atom
raw formation energy	-1159	meV/atom
total magnetization	0.00	μB/f.u.

a b c (Å): 4.262 4.262 8.464
angles (deg): 75.47 75.47 59.93
Atoms (fractional coordinates):
In 0.750 0.750 0.750
Se 0.250 0.250 0.250
La 0.991 0.991 0.026
La 0.509 0.509 0.474


Compound: Mn2Si
Source: Alexandria via LeMat-Bulk
Functional: GGA-PBE
Structure: relaxed

Values from the calculation:
symmetry	I4/mmm (139)
raw total energy	-24.7	eV/f.u.
raw formation energy	-324	meV/atom
total magnetization	0.00	μB/f.u.

a b c (Å): 2.741 2.741 4.722
angles (deg): 106.87 106.87 90.00
Atoms (fractional coordinates):
Mn 0.335 0.335 0.671
Mn 0.665 0.665 0.329
Si 0.000 0.000 0.000


Compound: Li2Ca2Cd5Ag
Source: Alexandria via LeMat-Bulk
Functional: GGA-PBE
Structure: relaxed

Values from the calculation:
symmetry	P4/mbm (127)
raw total energy	-17.4	eV/f.u.
total magnetization	0.00	μB/f.u.
formation energy from the elements	-0.21	eV per atom

a b c (Å): 3.767 10.989 10.989
angles (deg): 90.00 90.00 90.00
Atoms (fractional coordinates):
Li 0.000 0.123 0.623
Li 0.000 0.877 0.377
Li 0.000 0.623 0.877
Li 0.000 0.377 0.123
Ca 0.000 0.678 0.178
Ca 0.000 0.322 0.822
Ca 0.000 0.178 0.322
Ca 0.000 0.822 0.678
Cd 0.500 0.198 0.054
Cd 0.500 0.802 0.946
Cd 0.500 0.054 0.802
Cd 0.500 0.698 0.446
Cd 0.500 0.946 0.198
Cd 0.500 0.302 0.554
Cd 0.500 0.554 0.698
Cd 0.500 0.446 0.302
Cd 0.500 0.500 0.000
Cd 0.500 0.000 0.500
Ag 0.000 0.000 0.000
Ag 0.000 0.500 0.500


Compound: SmDy2Y6Sc3
Source: Alexandria via LeMat-Bulk
Functional: GGA-PBE
Structure: relaxed

Values from the calculation:
symmetry	C2/m (12)
raw total energy	-71.1	eV/f.u.
total magnetization	0.00	μB/f.u.
formation energy from the elements	0.05	eV per atom

a b c (Å): 6.076 6.076 11.528
angles (deg): 95.04 95.04 119.98
Atoms (fractional coordinates):
Sm 0.000 0.000 0.000
Dy 0.333 0.667 0.000
Dy 0.667 0.333 0.000
Y 0.914 0.580 0.740
Y 0.753 0.753 0.260
Y 0.086 0.420 0.260
Y 0.580 0.914 0.740
Y 0.247 0.247 0.740
Y 0.420 0.086 0.260
Sc 0.167 0.833 0.500
Sc 0.833 0.167 0.500
Sc 0.500 0.500 0.500


Compound: NbZnPd
Source: Alexandria via LeMat-Bulk
Functional: GGA-PBE
Structure: relaxed

Values from the calculation:
symmetry	P2_1/m (11)
raw total energy	-17.5	eV/f.u.
total magnetization	0.00	μB/f.u.
formation energy from the elements	-0.31	eV per atom

a b c (Å): 4.254 6.616 6.933
angles (deg): 103.69 90.00 90.00
Atoms (fractional coordinates):
Zn 0.250 0.288 0.654
Zn 0.750 0.212 0.346
Zn 0.750 0.712 0.346
Zn 0.250 0.788 0.654
Nb 0.250 0.624 0.998
Nb 0.250 0.124 0.998
Nb 0.750 0.376 0.002
Nb 0.750 0.876 0.002
Pd 0.250 0.959 0.335
Pd 0.250 0.459 0.335
Pd 0.750 0.041 0.665
Pd 0.750 0.541 0.665


Compound: SmGaFe4
Source: Alexandria via LeMat-Bulk
Functional: GGA-PBE
Structure: relaxed

Values from the calculation:
symmetry	F-43m (216)
raw total energy	-41.8	eV/f.u.
total magnetization	7.64	μB/f.u.
formation energy from the elements	-0.03	eV per atom

a b c (Å): 5.000 5.000 5.000
angles (deg): 60.00 60.00 60.00
Atoms (fractional coordinates):
Ga 0.250 0.250 0.250
Sm 0.000 0.000 0.000
Fe 0.624 0.624 0.129
Fe 0.624 0.129 0.624
Fe 0.624 0.624 0.624
Fe 0.129 0.624 0.624


Compound: Y5P2Se2
Source: Alexandria via LeMat-Bulk
Functional: GGA-PBE
Structure: relaxed

Values from the calculation:
symmetry	Cmce (64)
raw total energy	-62.8	eV/f.u.
raw formation energy	-1406	meV/atom
total magnetization	0.00	μB/f.u.

a b c (Å): 7.574 8.120 8.120
angles (deg): 124.59 90.00 90.00
Atoms (fractional coordinates):
Y 0.000 0.000 0.000
Y 0.500 0.500 0.500
Y 0.156 0.212 0.473
Y 0.844 0.527 0.788
Y 0.656 0.027 0.288
Y 0.344 0.712 0.973
Y 0.844 0.788 0.527
Y 0.156 0.473 0.212
Y 0.344 0.973 0.712
Y 0.656 0.288 0.027
P 0.355 0.147 0.147
P 0.645 0.853 0.853
P 0.855 0.353 0.353
P 0.145 0.647 0.647
Se 0.000 0.801 0.199
Se 0.500 0.301 0.699
Se 0.000 0.199 0.801
Se 0.500 0.699 0.301


Compound: NaZn10Cu3
Source: Alexandria via LeMat-Bulk
Functional: GGA-PBE
Structure: relaxed

Values from the calculation:
symmetry	Fm-3m (225)
raw total energy	-25.0	eV/f.u.
total magnetization	0.00	μB/f.u.
formation energy from the elements	0.09	eV per atom

a b c (Å): 8.776 8.776 8.776
angles (deg): 60.00 60.00 60.00
Atoms (fractional coordinates):
Na 0.250 0.250 0.250
Na 0.750 0.750 0.750
Zn 0.000 0.000 0.342
Zn 0.000 0.342 0.000
Zn 0.342 0.000 0.000
Zn 0.658 0.342 0.000
Zn 0.387 0.387 0.387
Zn 0.161 0.613 0.613
Zn 0.387 0.839 0.387
Zn 0.658 0.000 0.342
Zn 0.387 0.387 0.839
Zn 0.839 0.387 0.387
Zn 0.613 0.613 0.161
Zn 0.000 0.000 0.658
Zn 0.342 0.658 0.000
Zn 0.000 0.658 0.342
Zn 0.000 0.342 0.658
Zn 0.658 0.000 0.000
Zn 0.613 0.613 0.613
Zn 0.000 0.658 0.000
Zn 0.613 0.161 0.613
Zn 0.342 0.000 0.658
Cu 0.734 0.734 0.266
Cu 0.734 0.266 0.734
Cu 0.266 0.734 0.734
Cu 0.266 0.266 0.734
Cu 0.734 0.266 0.266
Cu 0.266 0.734 0.266


Compound: KP2Pt2
Source: Alexandria via LeMat-Bulk
Functional: GGA-PBE
Structure: relaxed

Values from the calculation:
symmetry	I4_1md (109)
raw total energy	-25.9	eV/f.u.
total magnetization	0.00	μB/f.u.
formation energy from the elements	-0.37	eV per atom

a b c (Å): 6.249 6.249 7.424
angles (deg): 114.89 114.89 90.00
Atoms (fractional coordinates):
K 0.966 0.966 0.933
K 0.216 0.716 0.433
P 0.459 0.679 0.918
P 0.489 0.209 0.418
P 0.929 0.209 0.418
P 0.459 0.239 0.918
Pt 0.648 0.866 0.296
Pt 0.680 0.398 0.796
Pt 0.116 0.398 0.796
Pt 0.648 0.430 0.296


Compound: CaNiP
Source: Alexandria via LeMat-Bulk
Functional: GGA-PBE
Structure: relaxed

Values from the calculation:
symmetry	P4/nmm (129)
raw total energy	-14.8	eV/f.u.
total magnetization	0.00	μB/f.u.
formation energy from the elements	-0.54	eV per atom

a b c (Å): 4.229 4.229 6.342
angles (deg): 90.00 90.00 90.00
Atoms (fractional coordinates):
Ca 0.500 0.000 0.673
Ca 0.000 0.500 0.327
Ni 0.500 0.000 0.143
Ni 0.000 0.500 0.857
P 0.000 0.000 0.000
P 0.500 0.500 0.000